A plane-wave DFT calculation with PBE was carried out for a relaxed structure of HgW2Br.

Cell lengths 5.561, 5.561, 5.561 Å; angles 137.86, 137.86, 61.12 degrees
Element x y z (fractional)
Br (0.250, 0.750, 0.500)
Hg (0.750, 0.250, 0.500)
W (0.000, 0.000, 0.000)
W (0.500, 0.500, 0.000)

Summary:
As for the space group: I4/mmm (139). The value obtained for the magnetic moment is 0.26 μB/cell. The value obtained for the formation energy (no corrections) is 1.59 eV/atom. For the density of states at the Fermi level, the calculation gives 3.60 states/eV/cell. The value obtained for the relative energy among the computed polymorphs is 4.78 eV per formula unit.

A plane-wave DFT calculation with PBE was carried out for a relaxed structure of HgWBr2.

Cell lengths 3.283, 5.938, 4.730 Å; angles 90.00, 90.00, 90.00 degrees
Element x y z (fractional)
Br (0.000, 0.000, 0.000)
Br (0.500, 0.500, 0.000)
Hg (0.500, 0.000, 0.500)
W (0.000, 0.500, 0.500)

Summary:
As for the space group: Pmmm (47). The value obtained for the magnetic moment is 2.63 μB/cell. The value obtained for the formation energy (no corrections) is 1.04 eV/atom. For the density of states at the Fermi level, the calculation gives 2.28 states/eV/cell. The value obtained for the relative energy among the computed polymorphs is 3.34 eV per formula unit.

A plane-wave DFT calculation with PBE was carried out for a relaxed structure of HgWBr.

Cell lengths 3.114, 3.114, 7.935 Å; angles 90.00, 90.00, 120.00 degrees
Element x y z (fractional)
Br (0.000, 0.000, 0.923)
Hg (0.667, 0.333, 0.389)
W (0.333, 0.667, 0.688)

Summary:
As for the space group: P3m1 (156). The value obtained for the magnetic moment is 0.00 μB/cell. The value obtained for the formation energy (no corrections) is 0.59 eV/atom. For the density of states at the Fermi level, the calculation gives 2.37 states/eV/cell. The value obtained for the relative energy among the computed polymorphs is 0.00 eV per formula unit.

A plane-wave DFT calculation with PBE was carried out for a relaxed structure of HgWBr2.

Cell lengths 11.457, 11.457, 11.457 Å; angles 16.58, 16.58, 16.58 degrees
Element x y z (fractional)
Br (0.887, 0.887, 0.887)
Br (0.113, 0.113, 0.113)
Hg (0.000, 0.000, 0.000)
W (0.500, 0.500, 0.500)

Summary:
As for the space group: R-3m (166). The value obtained for the magnetic moment is 0.00 μB/cell. The value obtained for the formation energy (no corrections) is 0.22 eV/atom. For the density of states at the Fermi level, the calculation gives 1.37 states/eV/cell. The value obtained for the relative energy among the computed polymorphs is 0.08 eV per formula unit.

A plane-wave DFT calculation with PBE was carried out for a relaxed structure of HgWBr2.

Cell lengths 5.590, 5.590, 7.675 Å; angles 68.82, 68.82, 33.05 degrees
Element x y z (fractional)
Br (0.899, 0.899, 0.086)
Br (0.743, 0.743, 0.664)
Hg (0.562, 0.562, 0.375)
W (0.296, 0.296, 0.375)

Summary:
As for the space group: Cm (8). The value obtained for the magnetic moment is 1.56 μB/cell. The value obtained for the formation energy (no corrections) is 0.23 eV/atom. For the density of states at the Fermi level, the calculation gives 1.39 states/eV/cell. The value obtained for the relative energy among the computed polymorphs is 0.10 eV per formula unit.

A plane-wave DFT calculation with PBE was carried out for a relaxed structure of Hg3WBr.

Cell lengths 5.501, 5.501, 5.501 Å; angles 90.00, 90.00, 90.00 degrees
Element x y z (fractional)
Br (0.500, 0.500, 0.500)
Hg (0.000, 0.500, 0.000)
Hg (0.000, 0.000, 0.500)
Hg (0.500, 0.000, 0.000)
W (0.000, 0.000, 0.000)

Summary:
As for the space group: Pm-3m (221). The value obtained for the magnetic moment is 3.58 μB/cell. The value obtained for the formation energy (no corrections) is 0.84 eV/atom. For the density of states at the Fermi level, the calculation gives 3.13 states/eV/cell. The value obtained for the relative energy among the computed polymorphs is 0.00 eV per formula unit.